Record 1
# YNbNi

A relaxed YNbNi crystal (GGA-PBE, the Alexandria database).

Summary:
distance to the lowest polymorph of the same formula	176.4	meV/atom
magnetization	0.000	Bohr magnetons per cell

a b c (Å): 8.113 3.258 10.566
angles (deg): 90.00 121.94 90.00
Fractional positions:
Ni (0.541, 0.000, 0.163)
Y (0.221, 0.000, 0.484)
Ni (0.829, 0.500, 0.929)
Ni (0.829, 0.000, 0.429)
Y (0.521, 0.000, 0.877)
Nb (0.819, 0.000, 0.722)
Nb (0.819, 0.500, 0.222)
Nb (0.044, 0.000, 0.144)
Y (0.221, 0.500, 0.984)
Nb (0.044, 0.500, 0.644)
Y (0.521, 0.500, 0.377)
Ni (0.541, 0.500, 0.663)

Record 2
# YNbNi

A relaxed YNbNi crystal (GGA-PBE, the Alexandria database).

Summary:
distance to the lowest polymorph of the same formula	109.6	meV/atom
magnetization	0.000	Bohr magnetons per cell

a b c (Å): 5.737 7.865 5.184
angles (deg): 90.00 90.00 90.00
Fractional positions:
Nb (0.250, 0.722, 0.351)
Nb (0.750, 0.278, 0.351)
Nb (0.250, 0.778, 0.851)
Ni (0.500, 0.500, 0.576)
Ni (0.000, 0.000, 0.076)
Ni (0.000, 0.500, 0.576)
Y (0.750, 0.879, 0.550)
Ni (0.500, 0.000, 0.076)
Y (0.250, 0.379, 0.050)
Y (0.250, 0.121, 0.550)
Y (0.750, 0.621, 0.050)
Nb (0.750, 0.222, 0.851)

Record 3
# YNbNi3

A relaxed YNbNi3 crystal (GGA-PBE, the Alexandria database).

Summary:
distance to the lowest polymorph of the same formula	0.0	meV/atom
magnetization	0.000	Bohr magnetons per cell

a b c (Å): 4.586 4.586 4.586
angles (deg): 90.00 90.00 90.00
Fractional positions:
Nb (0.000, 0.000, 0.000)
Ni (0.000, 0.500, 0.000)
Y (0.500, 0.500, 0.500)
Ni (0.500, 0.000, 0.000)
Ni (0.000, 0.000, 0.500)

Record 4
# Y3NbNi

A relaxed Y3NbNi crystal (GGA-PBE, the Alexandria database).

Summary:
distance to the lowest polymorph of the same formula	0.0	meV/atom
magnetization	2.855	Bohr magnetons per cell

a b c (Å): 5.189 5.189 5.189
angles (deg): 90.00 90.00 90.00
Fractional positions:
Nb (0.500, 0.500, 0.500)
Y (0.000, 0.000, 0.500)
Y (0.000, 0.500, 0.000)
Ni (0.000, 0.000, 0.000)
Y (0.500, 0.000, 0.000)

Record 5
# YNbNi

A relaxed YNbNi crystal (GGA-PBE, the Alexandria database).

Summary:
distance to the lowest polymorph of the same formula	100.9	meV/atom
magnetization	0.000	Bohr magnetons per cell

a b c (Å): 12.005 5.933 3.349
angles (deg): 90.00 90.00 90.00
Fractional positions:
Ni (0.604, 0.500, 0.000)
Y (0.204, 0.500, 0.500)
Y (0.296, 0.000, 0.000)
Ni (0.396, 0.500, 0.000)
Y (0.796, 0.500, 0.500)
Nb (0.500, 0.236, 0.500)
Ni (0.896, 0.000, 0.500)
Ni (0.104, 0.000, 0.500)
Nb (0.500, 0.764, 0.500)
Nb (0.000, 0.264, 0.000)
Nb (0.000, 0.736, 0.000)
Y (0.704, 0.000, 0.000)

Record 6
# YNbNi

A relaxed YNbNi crystal (GGA-PBE, the Alexandria database).

Summary:
distance to the lowest polymorph of the same formula	63.3	meV/atom
magnetization	0.000	Bohr magnetons per cell

a b c (Å): 4.260 10.866 5.244
angles (deg): 90.00 90.00 90.00
Fractional positions:
Y (0.000, 0.293, 0.250)
Nb (0.000, 0.000, 0.500)
Nb (0.500, 0.500, 0.000)
Y (0.000, 0.707, 0.750)
Ni (0.000, 0.568, 0.250)
Y (0.500, 0.793, 0.250)
Nb (0.000, 0.000, 0.000)
Ni (0.500, 0.068, 0.250)
Nb (0.500, 0.500, 0.500)
Ni (0.000, 0.432, 0.750)
Ni (0.500, 0.932, 0.750)
Y (0.500, 0.207, 0.750)

Record 7
# YZr2NbNi

A relaxed YZr2NbNi crystal (GGA-PBE, the Alexandria database).

Summary:
magnetization	0.000	Bohr magnetons per cell

a b c (Å): 5.065 4.787 5.065
angles (deg): 90.00 90.00 90.00
Fractional positions:
Y (0.500, 0.500, 0.500)
Zr (0.500, 0.000, 0.000)
Zr (0.000, 0.000, 0.500)
Ni (0.000, 0.500, 0.000)
Nb (0.000, 0.000, 0.000)

Record 8
# NbZn3Ni

A relaxed NbZn3Ni crystal (GGA-PBE, the Alexandria database).

Summary:
distance to the lowest polymorph of the same formula	0.0	meV/atom
magnetization	0.931	Bohr magnetons per cell

a b c (Å): 4.376 4.376 4.376
angles (deg): 90.00 90.00 90.00
Fractional positions:
Zn (0.500, 0.000, 0.000)
Zn (0.000, 0.500, 0.000)
Nb (0.500, 0.500, 0.500)
Zn (0.000, 0.000, 0.500)
Ni (0.000, 0.000, 0.000)

Record 9
# NbZnNi3

A relaxed NbZnNi3 crystal (GGA-PBE, the Alexandria database).

Summary:
distance to the lowest polymorph of the same formula	867.4	meV/atom
magnetization	3.002	Bohr magnetons per cell

a b c (Å): 4.256 4.256 4.256
angles (deg): 90.00 90.00 90.00
Fractional positions:
Ni (0.500, 0.000, 0.000)
Ni (0.000, 0.500, 0.000)
Ni (0.000, 0.000, 0.500)
Nb (0.500, 0.500, 0.500)
Zn (0.000, 0.000, 0.000)

Record 10
# NbZnNi3

A relaxed NbZnNi3 crystal (GGA-PBE, the Alexandria database).

Summary:
distance to the lowest polymorph of the same formula	52.4	meV/atom
magnetization	0.000	Bohr magnetons per cell

a b c (Å): 4.150 4.201 8.536
angles (deg): 104.24 104.04 90.00
Fractional positions:
Ni (0.541, 0.293, 0.585)
Ni (0.459, 0.707, 0.415)
Ni (0.216, 0.966, 0.932)
Ni (0.044, 0.793, 0.586)
Ni (0.784, 0.034, 0.068)
Zn (0.629, 0.879, 0.758)
Nb (0.133, 0.384, 0.769)
Nb (0.867, 0.616, 0.231)
Zn (0.371, 0.121, 0.242)
Ni (0.956, 0.207, 0.414)

Record 11
# Nb2Zn3Ni4

A relaxed Nb2Zn3Ni4 crystal (GGA-PBE, the Alexandria database).

Summary:
distance to the lowest polymorph of the same formula	83.2	meV/atom
magnetization	0.001	Bohr magnetons per cell

a b c (Å): 4.968 6.823 7.705
angles (deg): 90.00 108.81 90.00
Fractional positions:
Nb (0.093, 0.600, 0.186)
Zn (0.509, 0.750, 0.517)
Nb (0.407, 0.100, 0.814)
Zn (0.991, 0.250, 0.483)
Zn (0.491, 0.250, 0.483)
Ni (0.163, 0.984, 0.327)
Ni (0.663, 0.516, 0.327)
Zn (0.009, 0.750, 0.517)
Nb (0.907, 0.400, 0.814)
Ni (0.322, 0.250, 0.145)
Ni (0.337, 0.484, 0.673)
Ni (0.178, 0.750, 0.855)
Nb (0.593, 0.900, 0.186)
Zn (0.500, 0.500, 0.000)
Zn (0.000, 0.000, 0.000)
Ni (0.822, 0.250, 0.145)
Ni (0.837, 0.016, 0.673)
Ni (0.678, 0.750, 0.855)

Record 12
# NbZn2Ni

A relaxed NbZn2Ni crystal (GGA-PBE, the Alexandria database).

Summary:
magnetization	0.001	Bohr magnetons per cell

a b c (Å): 2.740 2.740 9.682
angles (deg): 81.87 81.87 60.00
Fractional positions:
Ni (0.500, 0.500, 0.500)
Zn (0.098, 0.098, 0.706)
Zn (0.902, 0.902, 0.294)
Nb (0.000, 0.000, 0.000)

Record 13
# NbZn3Ni

A relaxed NbZn3Ni crystal (GGA-PBE, the Alexandria database).

Summary:
distance to the lowest polymorph of the same formula	1001.6	meV/atom
magnetization	0.847	Bohr magnetons per cell

a b c (Å): 4.963 4.963 4.963
angles (deg): 90.00 90.00 90.00
Fractional positions:
Ni (0.500, 0.500, 0.500)
Nb (0.000, 0.000, 0.000)
Zn (0.000, 0.000, 0.500)
Zn (0.000, 0.500, 0.000)
Zn (0.500, 0.000, 0.000)

Record 14
# NbZn2Ni2

A relaxed NbZn2Ni2 crystal (GGA-PBE, the Alexandria database).

Summary:
distance to the lowest polymorph of the same formula	71.6	meV/atom
magnetization	0.000	Bohr magnetons per cell

a b c (Å): 7.066 7.066 2.714
angles (deg): 90.00 90.00 90.00
Fractional positions:
Ni (0.872, 0.628, 0.000)
Zn (0.832, 0.332, 0.500)
Zn (0.168, 0.668, 0.500)
Nb (0.000, 0.000, 0.000)
Ni (0.372, 0.872, 0.000)
Zn (0.332, 0.168, 0.500)
Zn (0.668, 0.832, 0.500)
Ni (0.128, 0.372, 0.000)
Nb (0.500, 0.500, 0.000)
Ni (0.628, 0.128, 0.000)

Record 15
# Nb2ZnNi3

A relaxed Nb2ZnNi3 crystal (GGA-PBE, the Alexandria database).

Summary:
magnetization	0.000	Bohr magnetons per cell

a b c (Å): 4.914 4.914 7.781
angles (deg): 90.00 90.00 120.00
Fractional positions:
Nb (0.667, 0.333, 0.446)
Zn (0.000, 0.000, 0.500)
Ni (0.828, 0.172, 0.750)
Nb (0.333, 0.667, 0.554)
Ni (0.657, 0.828, 0.250)
Zn (0.000, 0.000, 0.000)
Ni (0.828, 0.657, 0.750)
Ni (0.172, 0.343, 0.250)
Ni (0.343, 0.172, 0.750)
Ni (0.172, 0.828, 0.250)
Nb (0.667, 0.333, 0.054)
Nb (0.333, 0.667, 0.946)

Record 16
# NbZnNi2

A relaxed NbZnNi2 crystal (GGA-PBE, the Alexandria database).

Summary:
magnetization	0.000	Bohr magnetons per cell

a b c (Å): 6.674 6.674 5.400
angles (deg): 51.84 51.84 90.00
Fractional positions:
Ni (0.617, 0.125, 0.250)
Ni (0.133, 0.625, 0.250)
Zn (0.500, 0.500, 0.000)
Ni (0.375, 0.383, 0.750)
Nb (0.750, 0.250, 0.500)
Ni (0.875, 0.867, 0.750)
Nb (0.000, 0.000, 0.000)
Zn (0.250, 0.750, 0.500)

Record 17
# Nb2ZnNi

A relaxed Nb2ZnNi crystal (GGA-PBE, the Alexandria database).

Summary:
distance to the lowest polymorph of the same formula	179.5	meV/atom
magnetization	0.003	Bohr magnetons per cell

a b c (Å): 4.448 4.448 4.448
angles (deg): 60.00 60.00 60.00
Fractional positions:
Zn (0.500, 0.500, 0.500)
Nb (0.750, 0.750, 0.750)
Nb (0.250, 0.250, 0.250)
Ni (0.000, 0.000, 0.000)

Record 18
# NbZn2Ni

A relaxed NbZn2Ni crystal (GGA-PBE, the Alexandria database).

Summary:
magnetization	0.000	Bohr magnetons per cell

a b c (Å): 4.107 3.764 3.764
angles (deg): 90.00 90.00 90.00
Fractional positions:
Ni (0.500, 0.500, 0.500)
Zn (0.000, 0.000, 0.500)
Nb (0.500, 0.000, 0.000)
Zn (0.000, 0.500, 0.000)

Record 19
# NbZn2Ni

A relaxed NbZn2Ni crystal (GGA-PBE, the Alexandria database).

Summary:
magnetization	0.000	Bohr magnetons per cell

a b c (Å): 2.786 2.786 8.924
angles (deg): 81.02 81.02 60.00
Fractional positions:
Nb (0.500, 0.500, 0.500)
Zn (0.074, 0.074, 0.779)
Zn (0.259, 0.259, 0.222)
Ni (0.667, 0.667, 0.000)

Record 20
# NbZn2Ni

A relaxed NbZn2Ni crystal (GGA-PBE, the Alexandria database).

Summary:
magnetization	0.000	Bohr magnetons per cell

a b c (Å): 6.996 6.996 5.555
angles (deg): 50.97 50.97 90.00
Fractional positions:
Zn (0.159, 0.625, 0.250)
Ni (0.250, 0.750, 0.500)
Nb (0.750, 0.250, 0.500)
Zn (0.591, 0.125, 0.250)
Zn (0.375, 0.409, 0.750)
Nb (0.000, 0.000, 0.000)
Ni (0.500, 0.500, 0.000)
Zn (0.875, 0.841, 0.750)

| no. | DFT formation energy (meV/atom) | ρ (g cm⁻³) | E_tot (eV per atom) |
| --- | --- | --- | --- |
| 1 | -25 | 6.74 | -7.463 |
| 2 | -91 | 6.83 | -7.530 |
| 3 | 442 | 6.16 | -6.334 |
| 4 | 390 | 4.97 | -6.659 |
| 5 | -100 | 6.70 | -7.539 |
| 6 | -138 | 6.58 | -7.576 |
| 7 | 635 | 5.72 | -7.247 |
| 8 | 478 | 6.89 | -3.457 |
| 9 | 842 | 7.20 | -4.895 |
| 10 | 27 | 7.95 | -5.710 |
| 11 | -84 | 8.29 | -5.316 |
| 12 | 255 | 7.55 | -4.345 |
| 13 | 1479 | 4.72 | -2.455 |
| 14 | -84 | 8.36 | -4.920 |
| 15 | -194 | 8.72 | -6.653 |
| 16 | 309 | 7.83 | -5.417 |
| 17 | 77 | 8.27 | -6.722 |
| 18 | -49 | 8.06 | -4.648 |
| 19 | 38 | 7.95 | -4.562 |
| 20 | 257 | 7.59 | -4.343 |